# GGA-PBE Sb2AsAu2, relaxed
data_Sb2AsAu2
_space_group_name_H-M_alt 'P 4/m b m'
_space_group_IT_number 127
_space_group_name_Hall '-P 4 2ab'
_cell_length_a 8.2438
_cell_length_b 8.2438
_cell_length_c 3.4336
_cell_angle_alpha 90.00
_cell_angle_beta 90.00
_cell_angle_gamma 90.00
loop_
_atom_site_label
_atom_site_type_symbol
_atom_site_fract_x
_atom_site_fract_y
_atom_site_fract_z
Sb1 Sb 0.1914 0.3086 0.0000
As1 As 0.0000 0.0000 0.0000
Au1 Au 0.1181 0.6181 0.5000
# Total magnetization, μB/atom: 0.00
# Volume, Å³/f.u.: 117
# D(E_F), states/eV/atom: 0.4651
# Total DFT energy (no corrections), eV/atom: -3.695
# Formation energy from raw total energies, kJ per mole of atoms: 18.8
# Distance to the lowest polymorph of the same formula, kJ per mole of atoms: 1.4